Record 1
First-principles (GGA-PBEsol) data for a geometry-optimized NaTiPO5 structure, as listed in Alexandria via LeMat-Bulk.

Lattice parameters (Å, degrees): 8.730 10.558 9.181 90.00 90.01 90.00
Space group P2_1 (No. 4)
Unique sites:
Na 0.021 0.000 0.200 [2 per cell]
Na 0.231 0.689 0.486 [2 per cell]
Na 0.250 0.136 0.851 [2 per cell]
Na 0.460 0.282 0.197 [2 per cell]
Ti 0.114 0.253 0.360 [2 per cell]
Ti 0.122 0.521 0.149 [2 per cell]
Ti 0.380 0.762 0.148 [2 per cell]
Ti 0.393 0.027 0.366 [2 per cell]
P 0.076 0.766 0.945 [2 per cell]
P 0.091 0.998 0.559 [2 per cell]
P 0.408 0.281 0.561 [2 per cell]
P 0.424 0.518 0.943 [2 per cell]
O 0.001 0.163 0.958 [2 per cell]
O 0.005 0.897 0.976 [2 per cell]
O 0.006 0.089 0.453 [2 per cell]
O 0.043 0.860 0.529 [2 per cell]
O 0.052 0.725 0.785 [2 per cell]
O 0.056 0.038 0.718 [2 per cell]
O 0.193 0.387 0.257 [2 per cell]
O 0.233 0.274 0.537 [2 per cell]
O 0.249 0.776 0.976 [2 per cell]
O 0.251 0.139 0.282 [2 per cell]
O 0.251 0.508 0.974 [2 per cell]
O 0.251 0.642 0.229 [2 per cell]
O 0.266 0.006 0.539 [2 per cell]
O 0.312 0.892 0.263 [2 per cell]
O 0.439 0.242 0.721 [2 per cell]
O 0.448 0.558 0.783 [2 per cell]
O 0.460 0.418 0.530 [2 per cell]
O 0.494 0.387 0.976 [2 per cell]
O 0.495 0.190 0.457 [2 per cell]
O 0.498 0.121 0.961 [2 per cell]

Properties
Energy relative to the lowest polymorph listed for this composition = 0.005 eV/atom

Record 2
First-principles (GGA-PBEsol) data for a geometry-optimized NaTiP2O7 structure, as listed in Alexandria via LeMat-Bulk.

Lattice parameters (Å, degrees): 7.407 7.942 9.729 90.00 111.81 90.00
Space group P2_1/c (No. 14)
Unique sites:
Na 0.214 0.023 0.210 [4 per cell]
Ti 0.239 0.008 0.750 [4 per cell]
P 0.173 0.713 0.955 [4 per cell]
P 0.427 0.245 0.044 [4 per cell]
O 0.034 0.587 0.852 [4 per cell]
O 0.133 0.605 0.399 [4 per cell]
O 0.194 0.702 0.117 [4 per cell]
O 0.314 0.216 0.879 [4 per cell]
O 0.321 0.134 0.607 [4 per cell]
O 0.375 0.655 0.940 [4 per cell]
O 0.487 0.083 0.134 [4 per cell]

Number 1: formation energy from raw total energies -2.58 eV per atom. Number 2: formation energy from raw total energies -2.41 eV per atom.